Entry from the Alexandria database: crystalline Tb4Zn2O at its relaxed geometry (PBE). Values from VASP.

Structure (Quantum ESPRESSO input):
```
&SYSTEM
  ibrav = 0, nat = 7, ntyp = 3
/
ATOMIC_SPECIES
Zn 65.41 Zn.upf
Tb 158.93 Tb.upf
O 16.00 O.upf
CELL_PARAMETERS angstrom
-4.002 -1.854 1.715
1.972 -0.286 4.293
-3.412 5.528 4.544
ATOMIC_POSITIONS crystal
Zn 0.623 0.623 0.754
Tb 0.182 0.182 0.636
Tb 0.000 0.500 0.000
O 0.000 0.000 0.000
Tb 0.818 0.818 0.364
Zn 0.377 0.377 0.246
Tb 0.500 0.000 0.000
```

Properties
Energy relative to the lowest polymorph listed for this composition ... 0.000 eV per atom
Raw formation energy ... -966 meV/atom
Total moment ... 0.0 μB/cell
N(E_F) ... 0.962 states/eV per cell